Below is a relaxed structure of Bi3Te2Se2, with properties calculated at the GGA-PBE level.

Cell: 14.3327 4.4095 7.6781 Å, 90.00 95.08 90.00°
Space group C2/m (No. 12)
Inequivalent atoms, fractional coordinates:
Bi  0.0000  0.0000  0.0000
Bi  0.2438  0.5000  0.2482
Te  0.1196  0.0000  0.3791
Se  0.1296  0.5000  0.9118

Excess energy over the best structure of this formula in the dataset   0 meV per atom
Raw formation energy   -0.257 eV/atom
DOS(E_F)   0.39 states/eV/atom

=====

Below is a relaxed structure of BiTeSe3, with properties calculated at the GGA-PBE level.

Cell: 6.3515 5.4654 10.0496 Å, 90.00 93.62 90.00°
Space group P2_1/m (No. 11)
Inequivalent atoms, fractional coordinates:
Bi  0.0041  0.2500  0.3266
Te  0.4476  0.2500  0.8531
Se  0.1896  0.7500  0.2613
Se  0.1908  0.2500  0.5933
Se  0.3984  0.7500  0.8620

Excess energy over the best structure of this formula in the dataset   96 meV per atom
Raw formation energy   -0.019 eV/atom
DOS(E_F)   0.32 states/eV/atom

=====

Below is a relaxed structure of BiTeSe, with properties calculated at the GGA-PBE level.

Cell: 16.5174 4.3978 5.9910 Å, 90.00 104.24 90.00°
Space group C2/m (No. 12)
Inequivalent atoms, fractional coordinates:
Bi  0.1681  0.0000  0.2477
Te  0.0284  0.5000  0.2418
Se  0.2059  0.0000  0.7213

Excess energy over the best structure of this formula in the dataset   0 meV per atom
Raw formation energy   -0.237 eV/atom
DOS(E_F)   0.01 states/eV/atom